[1]
Be2HgO | PBE | relaxed

Structure (extended XYZ):
```
4
Lattice="0.000 2.907 2.907 2.907 0.000 2.907 2.907 2.907 0.000" Properties=species:S:1:pos:R:3 pbc="T T T"
Hg 2.907 2.907 2.907
O 0.000 0.000 0.000
Be 1.454 1.454 1.454
Be 4.361 4.361 4.361
```

Computed properties:
As for the raw total energy: -2.622 eV/atom. Its density is 7.93 g/cm³. For the energy above the most stable polymorph in this dataset, the calculation gives 1458 meV/atom. The value obtained for the formation energy (no corrections) is 0.56 eV per atom. The space group is Fm-3m, No. 225.

[2]
BeHgO2 | PBE | relaxed

Structure (extended XYZ):
```
8
Lattice="4.744 0.000 0.000 0.000 4.744 0.000 2.372 2.372 3.993" Properties=species:S:1:pos:R:3 pbc="T T T"
Hg 0.000 0.000 0.000
Hg 4.744 2.372 1.997
Be 2.372 4.744 1.997
Be 2.372 2.372 0.000
O 3.558 4.109 2.995
O 5.930 5.380 2.995
O 1.737 3.558 0.998
O 3.008 1.186 0.998
```

Computed properties:
As for the raw total energy: -4.873 eV/atom. Its density is 8.93 g/cm³. For the energy above the most stable polymorph in this dataset, the calculation gives 5 meV/atom. The value obtained for the formation energy (no corrections) is -1.39 eV per atom. The space group is I-42d, No. 122.

> Look up the density of the second one.

8.93 g/cm³